VASP calculation (PBE-GGA) on a geometry-optimized InAg2Ir structure.

CIF file:
```
data_InAg2Ir
_chemical_formula_sum 'In2 Ag4 Ir2'
_space_group_name_H-M_alt 'I m m m'
_space_group_IT_number 71
_space_group_name_Hall '-I 2 2'
_cell_length_a 3.0927
_cell_length_b 4.6264
_cell_length_c 9.9722
_cell_angle_alpha 90.00
_cell_angle_beta 90.00
_cell_angle_gamma 90.00
loop_
_atom_site_label
_atom_site_fract_x
_atom_site_fract_y
_atom_site_fract_z
_atom_site_occupancy
In1 0.0000 0.0000 0.0000 1
Ag1 0.0000 0.5000 0.2412 1
Ir1 0.0000 0.0000 0.5000 1
```

Properties
M_tot (μB per cell): 0.000
Electronic total energy (eV/f.u.): -16.8